40
Lattice="-0.4576 6.7566 -3.6411 -0.5188 -3.6665 -6.7384 -7.6577 -0.1553 0.6741" Properties=species:S:1:pos:R:3 comment="SiP2O7 | Alexandria via LeMat-Bulk | PBEsol | optimized geometry" magnetic_moment_mub_per_fu=0.000 e_tot_ev_per_cell=-309.2 raw_formation_energy_ev_per_atom=-2.322 pbc="T T T"
O -4.3171 1.4674 -4.8527
O -0.2594 -1.8332 -3.3692
O -0.2288 3.3783 -1.8206
O -3.8289 -0.0777 0.3371
O -3.3493 2.1916 -2.6406
O -7.3222 -2.6811 -5.0449
O -1.3983 1.2282 -6.6533
O -5.1984 5.1308 -5.0723
O -1.8989 1.0490 -4.2764
O -6.6112 5.7185 -3.1374
O -5.6556 -1.4753 -3.6834
O -3.1025 0.5773 -8.3137
O -3.6574 -0.2136 -3.0937
O -1.3014 2.1410 -8.9429
O -4.6664 4.2308 -2.8380
O -7.6430 -0.2887 -4.5363
O -5.2848 0.7432 -7.0649
O -1.3119 5.6159 -4.6606
O -7.2358 1.7065 -3.0522
O -3.4357 -2.1961 -4.6332
O -6.7352 1.8858 -5.4291
O -2.0229 -2.7838 -6.5680
O -2.9785 4.4100 -6.0220
O -5.5316 2.3575 -1.3918
O -4.9767 3.1483 -6.6117
O -7.3327 0.7938 -0.7625
O -3.9677 -1.2961 -6.8675
O -0.9911 3.2235 -5.1692
P -3.2874 1.1174 -3.6953
P -7.1203 -1.6016 -4.0133
P -1.6535 0.9363 -8.1093
P -5.2070 5.4174 -3.5931
P -5.3467 1.8174 -6.0102
P -1.5138 4.5363 -5.6922
P -6.9806 1.9985 -1.5962
P -3.4271 -2.4826 -6.1124
Si 0.0000 0.0000 0.0000
Si -4.0576 3.3006 -1.4835
Si -4.0883 -1.9109 -3.0322
Si -0.4882 1.5451 -5.1898


4
Lattice="3.1037 0.0000 0.0000 0.0000 3.1037 0.0000 0.0000 0.0000 5.6006" Properties=species:S:1:pos:R:3 comment="AlCu2Au | Alexandria via LeMat-Bulk | PBEsol | optimized geometry" magnetic_moment_mub_per_fu=0.000 e_tot_ev_per_cell=-17.5 pbc="T T T"
Au 1.5519 1.5519 4.1906
Al 0.0000 0.0000 2.6945
Cu 0.0000 0.0000 0.1569
Cu 1.5519 1.5519 1.3590